Mn2CoBrO | the Alexandria database | GGA+U | optimized geometry; space-group type = No. 123; volume = 18.90 A^3/atom; raw total energy = -5.442 eV/atom
1.0
-3.6423 0.5922 1.5015
-1.7666 -5.2329 -2.2215
1.0989 -1.8048 3.3774
Br O Co Mn
1 1 1 2
Direct
0.0000 0.5000 0.0000
0.0000 0.0000 0.0000
0.5000 0.5000 0.5000
0.5000 0.0000 0.0000
0.0000 0.0000 0.5000